[1]
Crystalline Ho4HgAu7 at its relaxed geometry. Source: Alexandria via LeMat-Bulk, functional PBE-GGA.

It has space group C2/m (No. 12), with a = 13.757 Å, b = 5.236 Å, c = 9.518 Å, α = 90.00°, β = 124.37° and γ = 90.00°. The inequivalent atoms are Ho at (0.068, 0.000, 0.246), Ho at (0.239, 0.000, 0.784), Hg at (0.000, 0.500, 0.500), Au at (0.000, 0.000, 0.500), Au at (0.074, 0.500, 0.856), Au at (0.178, 0.000, 0.052) and Au at (0.185, 0.500, 0.439).

The calculation puts the formation energy from the elements at -0.6033 eV per atom. The total energy comes out at -4.07 eV per atom.

---

[2]
Crystalline Ho4HgIrAu2 at its relaxed geometry. Source: Alexandria via LeMat-Bulk, functional PBE-GGA.

It has space group R-3m (No. 166, hexagonal axes), with a = 5.0525 Å, b = 5.0525 Å, c = 24.7114 Å, α = 90.00°, β = 90.00° and γ = 120.00°. The inequivalent atoms are Ho at (0.0000, 0.0000, 0.1165), Ho at (0.0000, 0.0000, 0.3683), Hg at (0.0000, 0.0000, 0.5000), Ir at (0.0000, 0.0000, 0.0000) and Au at (0.0000, 0.0000, 0.2418).

The calculation puts the formation energy from the elements at -0.7894 eV per atom. The total energy comes out at -5.04 eV per atom.

---

[3]
Crystalline LiHoHgAu at its relaxed geometry. Source: Alexandria via LeMat-Bulk, functional PBE-GGA.

It has space group F-43m (No. 216), with a = 6.960 Å, b = 6.960 Å, c = 6.960 Å, α = 90.00°, β = 90.00° and γ = 90.00°. The inequivalent atoms are Li at (0.000, 0.000, 0.000), Ho at (0.000, 0.000, 0.500), Hg at (0.250, 0.250, 0.250) and Au at (0.250, 0.250, 0.750).

The calculation puts the formation energy from the elements at -0.5533 eV per atom. The total energy comes out at -3.07 eV per atom.

---

[4]
Crystalline HoLuHgAu at its relaxed geometry. Source: Alexandria via LeMat-Bulk, functional PBE-GGA.

It has space group F-43m (No. 216), with a = 7.233 Å, b = 7.233 Å, c = 7.233 Å, α = 90.00°, β = 90.00° and γ = 90.00°. The inequivalent atoms are Ho at (0.000, 0.000, 0.000), Lu at (0.000, 0.000, 0.500), Hg at (0.250, 0.250, 0.750) and Au at (0.250, 0.250, 0.250).

The calculation puts the formation energy from the elements at -0.6710 eV per atom. The total energy comes out at -3.84 eV per atom.